AgTeWO6 | PBE with a Hubbard U | relaxed

The structure in POSCAR format:
```
AgTeWO6
1.0
5.423 0.000 0.000
-2.712 4.697 0.000
0.000 0.000 10.329
Ag Te W O
2 2 2 12
direct
0.000 0.000 0.000 Ag
0.000 0.000 0.500 Ag
0.333 0.667 0.250 Te
0.667 0.333 0.750 Te
0.333 0.667 0.750 W
0.667 0.333 0.250 W
0.012 0.391 0.643 O
0.012 0.621 0.857 O
0.379 0.391 0.857 O
0.379 0.988 0.643 O
0.391 0.012 0.143 O
0.391 0.379 0.357 O
0.609 0.621 0.643 O
0.609 0.988 0.857 O
0.621 0.012 0.357 O
0.621 0.609 0.143 O
0.988 0.379 0.143 O
0.988 0.609 0.357 O
```

Its crystal system is trigonal. Its final energy is -5.935 eV per atom. The calculation puts the density of states at the Fermi level at 0.3357 states/eV per atom. As for the space group: No. 163. The magnetization is 0.00 Bohr magnetons per cell.